Compound: TePt2
Source: the Alexandria database
Functional: PBE-GGA
Structure: optimized geometry

Values from the calculation:
Formation energy (no corrections)   0.115 eV per atom
Energy relative to the lowest polymorph listed for this composition   294 meV/atom
Uncorrected energy   -4.9598 eV/atom
Space-group type   P-62m, No. 189

```
TePt2
1.0
7.6140 0.0000 0.0000
-3.8070 6.5939 0.0000
0.0000 0.0000 3.3798
Te Pt
3 6
Cartesian
0.0000 0.0000 0.0000 Te
0.0000 4.3959 1.6899 Te
3.8070 2.1980 1.6899 Te
-1.1427 1.9793 1.6899 Pt
-2.4209 4.1932 0.0000 Pt
2.2855 0.0000 1.6899 Pt
1.3861 2.4007 0.0000 Pt
4.8419 0.0000 0.0000 Pt
2.6643 4.6146 1.6899 Pt
```